# BaPtF (PBE, relaxed)
# Formation energy without anion corrections = -6.75 eV per formula unit
# Volume = 71.9 Å³/f.u.
# DFT total energy = -5.53 eV per atom
data_BaPtF
_space_group_name_H-M_alt 'P 1'
_space_group_IT_number 1
_cell_length_a 4.429
_cell_length_b 4.429
_cell_length_c 8.838
_cell_angle_alpha 75.49
_cell_angle_beta 75.49
_cell_angle_gamma 60.00
loop_
_space_group_symop_operation_xyz
'x,y,z'
loop_
_atom_site_label
_atom_site_type_symbol
_atom_site_fract_x
_atom_site_fract_y
_atom_site_fract_z
Ba1 Ba 0.593 0.593 0.221
Ba2 Ba 0.407 0.407 0.779
F1 F 0.299 0.299 0.103
F2 F 0.701 0.701 0.897
Pt1 Pt 0.835 0.835 0.496
Pt2 Pt 0.165 0.165 0.504